Ba2InHg2 after structural relaxation. Source: Alexandria, functional PBE.

Unit cell a=12.6833 b=5.0657 c=12.6034 alpha=90.00 beta=117.49 gamma=90.00
Space group C2/m (No. 12)
Inequivalent atoms, fractional coordinates:
1 Ba 0.0138 0.0000 0.3427 x4
2 Ba 0.1920 0.0000 0.1134 x4
3 In 0.2227 0.5000 0.3537 x4
4 Hg 0.0211 0.5000 0.8848 x4
5 Hg 0.1422 0.5000 0.5651 x4

Summary:
As for the energy of formation: -10.7 kcal/mol of atoms. Its energy above the most stable polymorph in this dataset is 0 meV/atom. Its density of states at the Fermi level is 0.89 states/eV per atom.

***

Dy4Pd3Au after structural relaxation. Source: Alexandria, functional PBE.

Unit cell a=3.7329 b=4.6309 c=10.5715 alpha=90.00 beta=90.00 gamma=90.00
Space group Pmm2 (No. 25)
Inequivalent atoms, fractional coordinates:
1 Dy 0.0000 0.0000 0.0000 x1
2 Dy 0.0000 0.5000 0.2692 x1
3 Dy 0.5000 0.0000 0.4898 x1
4 Dy 0.5000 0.5000 0.7724 x1
5 Pd 0.0000 0.5000 0.5447 x1
6 Pd 0.5000 0.0000 0.2185 x1
7 Pd 0.5000 0.5000 0.0461 x1
8 Au 0.0000 0.0000 0.7177 x1

Summary:
As for the energy of formation: -21.1 kcal/mol of atoms. Its density of states at the Fermi level is 0.64 states/eV per atom.

***

Cs3Co2AgBr8 after structural relaxation. Source: Alexandria, functional PBE.

Unit cell a=7.7682 b=7.7682 c=10.0797 alpha=90.00 beta=90.00 gamma=120.00
Space group P-3m1 (No. 164)
Inequivalent atoms, fractional coordinates:
1 Cs 0.0000 0.0000 0.0000 x1
2 Cs 0.3333 0.6667 0.6415 x2
3 Co 0.3333 0.6667 0.2301 x2
4 Ag 0.0000 0.0000 0.5000 x1
5 Br 0.1660 0.3321 0.3175 x6
6 Br 0.3333 0.6667 0.9970 x2

Summary:
As for the formation energy from raw total energies: -13.466 eV/f.u. Its density of states at the Fermi level is 0.00 states/eV per atom.

***

Pu2Ga5Ni3 after structural relaxation. Source: Alexandria, functional PBE.

Unit cell a=4.2330 b=24.2194 c=6.4933 alpha=90.00 beta=90.00 gamma=90.00
Space group Cmc2_1 (No. 36)
Inequivalent atoms, fractional coordinates:
1 Pu 0.0000 0.0187 0.0000 x4
2 Pu 0.0000 0.3275 0.9503 x4
3 Ga 0.0000 0.1019 0.6477 x4
4 Ga 0.0000 0.2065 0.1409 x4
5 Ga 0.0000 0.2117 0.7397 x4
6 Ga 0.0000 0.3741 0.4819 x4
7 Ga 0.0000 0.4473 0.8199 x4
8 Ni 0.0000 0.1075 0.2533 x4
9 Ni 0.0000 0.2736 0.4381 x4
10 Ni 0.0000 0.4486 0.2138 x4

Summary:
As for the energy of formation: -9.2 kcal/mol of atoms. Its energy above the most stable polymorph in this dataset is 20 meV/atom. Its density of states at the Fermi level is 2.29 states/eV per atom.

***

FeAg2Os after structural relaxation. Source: Alexandria, functional PBE.

Unit cell a=2.8231 b=4.7959 c=9.3746 alpha=90.00 beta=90.00 gamma=90.00
Space group Imm2 (No. 44)
Inequivalent atoms, fractional coordinates:
1 Fe 0.0000 0.0000 0.0000 x2
2 Ag 0.0000 0.0000 0.4772 x2
3 Ag 0.0000 0.5000 0.2479 x2
4 Os 0.0000 0.5000 0.7085 x2

Summary:
As for the energy of formation: 14.6 kcal/mol of atoms. Its energy above the most stable polymorph in this dataset is 319 meV/atom. Its density of states at the Fermi level is 0.78 states/eV per atom.

***

TaNbCuTc2 after structural relaxation. Source: Alexandria, functional PBE.

Unit cell a=4.6801 b=4.6801 c=4.9030 alpha=90.00 beta=90.00 gamma=90.00
Space group P4/mmm (No. 123)
Inequivalent atoms, fractional coordinates:
1 Ta 0.0000 0.0000 0.0000 x1
2 Nb 0.0000 0.0000 0.5000 x1
3 Cu 0.5000 0.5000 0.0000 x1
4 Tc 0.0000 0.5000 0.5000 x2

Summary:
As for the energy of formation: 42.9 kcal/mol of atoms. Its density of states at the Fermi level is 0.92 states/eV per atom.